# La2CdOs

A geometry-optimized La2CdOs structure (PBE-GGA, the Alexandria database). Values from VASP.

Geometry as Quantum ESPRESSO input:
```
&SYSTEM
  ibrav = 0, nat = 4, ntyp = 3
/
ATOMIC_SPECIES
La 138.91 La.upf
Cd 112.41 Cd.upf
Os 190.23 Os.upf
ATOMIC_POSITIONS crystal
La 0.000 0.000 0.203
La 0.000 0.000 0.797
Cd 0.500 0.500 0.500
Os 0.500 0.500 0.000
CELL_PARAMETERS angstrom
3.490 0.000 0.000
0.000 3.519 0.000
0.000 0.000 8.766
```

Results
**Space group**: Pmmm
**Fermi-level density of states**: 4.3 states/eV/cell
**Volume**: 108 Å³ per cell
**Energy**: -5.6534 eV/atom
**Total magnetic moment**: 0.00 μB/cell
**E_form**: -0.15 eV per atom

# AcPr2InO

A geometry-optimized AcPr2InO structure (PBE-GGA, the Alexandria database). Values from VASP.

Geometry as Quantum ESPRESSO input:
```
&SYSTEM
  ibrav = 0, nat = 5, ntyp = 4
/
ATOMIC_SPECIES
Ac 227.00 Ac.upf
Pr 140.91 Pr.upf
In 114.82 In.upf
O 16.00 O.upf
ATOMIC_POSITIONS crystal
Ac 0.000 0.000 0.000
Pr 0.000 0.500 0.500
Pr 0.500 0.000 0.500
In 0.500 0.500 0.000
O 0.000 0.000 0.500
CELL_PARAMETERS angstrom
5.097 0.000 0.000
0.000 5.097 0.000
0.000 0.000 5.196
```

Results
**Space group**: P4/mmm
**Fermi-level density of states**: 2.3 states/eV/cell
**Volume**: 135 Å³ per cell
**Formation energy from raw total energies**: -1.33 eV per atom
**Energy**: -5.5983 eV/atom
**Total magnetic moment**: 0.00 μB/cell